Here is crystalline NiB2NF at its relaxed geometry from the Alexandria database. Energies are from PBE with a Hubbard U.

Unit cell a=2.9489 b=2.9489 c=5.5683 alpha=90.00 beta=90.00 gamma=90.00
Space group P4/mmm (No. 123)
Symmetry-distinct sites (fractional):
Ni1 0.0000 0.0000 0.0000 [1 per cell]
B1 0.0000 0.5000 0.5000 [2 per cell]
N1 0.5000 0.5000 0.5000 [1 per cell]
F1 0.5000 0.5000 0.0000 [1 per cell]

Computed properties:
Spin magnetization (μB/atom): 0.281
N(E_F) (states/eV/cell): 1.4
Crystal system: tetragonal
Calculated total energy (eV per cell): -23.0